No. 1
Material: ScRuI3
Method: DFT, GGA-PBE
State: relaxed

The raw formation energy is 0.327 eV per atom. The excess energy over the best structure of this formula in the dataset comes out at 0.0 meV per atom.

It has space group Pm-3m (No. 221), with a = 5.3345 Å, b = 5.3345 Å, c = 5.3345 Å, α = 90.00°, β = 90.00° and γ = 90.00°. The asymmetric unit holds Sc at (0.0000, 0.0000, 0.0000), Ru at (0.5000, 0.5000, 0.5000) and I at (0.0000, 0.5000, 0.5000).

---

No. 2
Material: AcPuRuAu
Method: DFT, GGA-PBE
State: relaxed

The formation energy is -175 meV per atom.

It has space group F-43m (No. 216), with a = 7.3174 Å, b = 7.3174 Å, c = 7.3174 Å, α = 90.00°, β = 90.00° and γ = 90.00°. The asymmetric unit holds Ac at (0.0000, 0.0000, 0.0000), Pu at (0.0000, 0.0000, 0.5000), Ru at (0.2500, 0.2500, 0.7500) and Au at (0.2500, 0.2500, 0.2500).

---

No. 3
Material: Cs3Na2PbBr6
Method: DFT, GGA-PBE
State: relaxed

The raw formation energy is -1.300 eV per atom.

It has space group P-3m1 (No. 164), with a = 8.4263 Å, b = 8.4263 Å, c = 9.3666 Å, α = 90.00°, β = 90.00° and γ = 120.00°. The asymmetric unit holds Cs at (0.0000, 0.0000, 0.0000), Cs at (0.3333, 0.6667, 0.6114), Na at (0.3333, 0.6667, 0.1494), Pb at (0.0000, 0.0000, 0.5000) and Br at (0.1660, 0.3320, 0.3017).

---

No. 4
Material: Er4AlZn2Ag
Method: DFT, GGA-PBE
State: relaxed

The formation energy is -357 meV per atom.

It has space group R-3m (No. 166, hexagonal axes), with a = 5.0397 Å, b = 5.0397 Å, c = 24.7392 Å, α = 90.00°, β = 90.00° and γ = 120.00°. The asymmetric unit holds Er at (0.0000, 0.0000, 0.1246), Er at (0.0000, 0.0000, 0.3746), Al at (0.0000, 0.0000, 0.0000), Zn at (0.0000, 0.0000, 0.2518) and Ag at (0.0000, 0.0000, 0.5000).

---

N(E_F) across the listed records, respectively: 8.74; 52.75; 3.28; 13.58 states/eV/cell.
M_tot across the listed records, respectively: 0.000; 1.299; 0.060; 0.000 μB per atom.